NiSnAu: optimized geometry, PBE.

Cell lengths 3.543, 3.543, 4.846 Å; angles 111.45, 111.45, 90.00 degrees
Positions (direct):
Ni (0.951, 0.951, 0.903)
Au (0.613, 0.613, 0.226)
Sn (0.286, 0.286, 0.571)

Properties
Calculated volume in Å³/atom: 17.36
Calculated formation energy in eV/atom: -0.01
Electronic total energy in eV/atom: -4.366
Theoretical density in Mg/m³: 11.9

=====

Ni2SnAu: optimized geometry, PBE.

Cell lengths 5.902, 5.902, 6.892 Å; angles 90.00, 90.00, 90.00 degrees
Positions (direct):
Ni (0.269, 0.269, 0.000)
Ni (0.269, 0.731, 0.000)
Ni (0.731, 0.269, 0.000)
Ni (0.731, 0.731, 0.000)
Ni (0.769, 0.769, 0.500)
Ni (0.769, 0.231, 0.500)
Ni (0.231, 0.769, 0.500)
Ni (0.231, 0.231, 0.500)
Sn (0.000, 0.500, 0.250)
Sn (0.000, 0.500, 0.750)
Sn (0.500, 0.000, 0.750)
Sn (0.500, 0.000, 0.250)
Au (0.000, 0.000, 0.223)
Au (0.000, 0.000, 0.777)
Au (0.500, 0.500, 0.723)
Au (0.500, 0.500, 0.277)

Properties
Calculated volume in Å³/atom: 15.00
Calculated formation energy in eV/atom: -0.09
Electronic total energy in eV/atom: -4.803
Theoretical density in Mg/m³: 12.0

=====

Ni2SnAu: optimized geometry, PBE.

Cell lengths 7.780, 4.266, 9.336 Å; angles 90.00, 126.71, 90.00 degrees
Positions (direct):
Ni (0.299, 0.000, 0.831)
Ni (0.701, 0.000, 0.169)
Ni (0.299, 0.500, 0.331)
Ni (0.701, 0.500, 0.669)
Ni (0.938, 0.000, 0.774)
Ni (0.062, 0.000, 0.226)
Ni (0.938, 0.500, 0.274)
Ni (0.062, 0.500, 0.726)
Sn (0.000, 0.500, 0.000)
Sn (0.000, 0.000, 0.500)
Sn (0.500, 0.000, 0.500)
Sn (0.500, 0.500, 0.000)
Au (0.677, 0.000, 0.873)
Au (0.323, 0.000, 0.127)
Au (0.677, 0.500, 0.373)
Au (0.323, 0.500, 0.627)

Properties
Calculated volume in Å³/atom: 15.52
Calculated formation energy in eV/atom: -0.09
Electronic total energy in eV/atom: -4.801
Theoretical density in Mg/m³: 11.6

=====

NiSn3Au: optimized geometry, PBE.

Cell lengths 4.951, 4.951, 4.951 Å; angles 90.00, 90.00, 90.00 degrees
Positions (direct):
Ni (0.000, 0.000, 0.000)
Au (0.500, 0.500, 0.500)
Sn (0.000, 0.500, 0.000)
Sn (0.000, 0.000, 0.500)
Sn (0.500, 0.000, 0.000)

Properties
Calculated volume in Å³/atom: 24.27
Calculated formation energy in eV/atom: 0.10
Electronic total energy in eV/atom: -4.118
Energy relative to the lowest polymorph listed for this composition in eV per formula unit: 1.10
Theoretical density in Mg/m³: 8.4

=====

Ni2SnAu: optimized geometry, PBE.

Cell lengths 6.215, 8.895, 4.344 Å; angles 90.00, 90.00, 90.00 degrees
Positions (direct):
Ni (0.778, 0.104, 0.250)
Ni (0.778, 0.896, 0.750)
Ni (0.222, 0.104, 0.250)
Ni (0.222, 0.896, 0.750)
Ni (0.278, 0.604, 0.250)
Ni (0.278, 0.396, 0.750)
Ni (0.722, 0.604, 0.250)
Ni (0.722, 0.396, 0.750)
Sn (0.000, 0.843, 0.250)
Sn (0.000, 0.157, 0.750)
Sn (0.500, 0.343, 0.250)
Sn (0.500, 0.657, 0.750)
Au (0.000, 0.377, 0.250)
Au (0.000, 0.623, 0.750)
Au (0.500, 0.877, 0.250)
Au (0.500, 0.123, 0.750)

Properties
Calculated volume in Å³/atom: 15.01
Calculated formation energy in eV/atom: -0.10
Electronic total energy in eV/atom: -4.811
Theoretical density in Mg/m³: 12.0

=====

Ni3Sn5Au: optimized geometry, PBE.

Cell lengths 6.997, 6.997, 9.688 Å; angles 65.51, 65.51, 77.85 degrees
Positions (direct):
Ni (0.670, 0.670, 0.839)
Ni (0.628, 0.628, 0.344)
Ni (0.000, 0.000, 0.000)
Ni (0.000, 0.000, 0.500)
Ni (0.330, 0.330, 0.161)
Ni (0.372, 0.372, 0.656)
Sn (0.923, 0.350, 0.306)
Sn (0.281, 0.719, 0.000)
Sn (0.758, 0.758, 0.032)
Sn (0.372, 0.372, 0.390)
Sn (0.628, 0.628, 0.610)
Sn (0.242, 0.242, 0.968)
Sn (0.350, 0.923, 0.306)
Sn (0.719, 0.281, 0.000)
Sn (0.077, 0.650, 0.694)
Sn (0.650, 0.077, 0.694)
Au (0.107, 0.107, 0.687)
Au (0.893, 0.893, 0.313)

Properties
Calculated volume in Å³/atom: 21.80
Calculated formation energy in eV/atom: -0.05
Electronic total energy in eV/atom: -4.561
Theoretical density in Mg/m³: 8.2

=====

NiSn6Au: optimized geometry, PBE.

Cell lengths 6.479, 6.479, 6.621 Å; angles 60.71, 60.70, 60.00 degrees
Positions (direct):
Ni (0.000, 0.000, 0.000)
Sn (0.015, 0.447, 0.755)
Sn (0.783, 0.015, 0.755)
Sn (0.553, 0.217, 0.245)
Sn (0.217, 0.985, 0.245)
Sn (0.985, 0.553, 0.245)
Sn (0.447, 0.783, 0.755)
Au (0.500, 0.500, 0.500)

Properties
Calculated volume in Å³/atom: 24.82
Calculated formation energy in eV/atom: -0.06
Electronic total energy in eV/atom: -4.191
Energy relative to the lowest polymorph listed for this composition in eV per formula unit: 0.05
Theoretical density in Mg/m³: 8.1

=====

NiSnAu: optimized geometry, PBE.

Cell lengths 4.101, 6.219, 8.566 Å; angles 90.00, 90.00, 90.00 degrees
Positions (direct):
Ni (0.250, 0.507, 0.104)
Ni (0.750, 0.493, 0.896)
Ni (0.250, 0.993, 0.604)
Ni (0.750, 0.007, 0.396)
Sn (0.250, 0.748, 0.854)
Sn (0.750, 0.252, 0.146)
Sn (0.250, 0.752, 0.354)
Sn (0.750, 0.248, 0.646)
Au (0.250, 0.303, 0.388)
Au (0.750, 0.697, 0.612)
Au (0.250, 0.197, 0.888)
Au (0.750, 0.803, 0.112)

Properties
Calculated volume in Å³/atom: 18.20
Calculated formation energy in eV/atom: -0.18
Electronic total energy in eV/atom: -4.536
Theoretical density in Mg/m³: 11.4

=====

NiSnAu: optimized geometry, PBE.

Cell lengths 3.285, 4.325, 4.325 Å; angles 120.00, 90.00, 90.00 degrees
Positions (direct):
Ni (0.401, 0.333, 0.667)
Au (0.014, 0.000, 0.000)
Sn (0.585, 0.667, 0.333)

Properties
Calculated volume in Å³/atom: 17.74
Calculated formation energy in eV/atom: 0.05
Electronic total energy in eV/atom: -4.305
Theoretical density in Mg/m³: 11.7

=====

Ni2SnAu: optimized geometry, PBE.

Cell lengths 6.912, 4.086, 9.090 Å; angles 90.00, 100.76, 90.00 degrees
Positions (direct):
Ni (0.837, 0.000, 0.049)
Ni (0.837, 0.500, 0.549)
Ni (0.503, 0.000, 0.829)
Ni (0.503, 0.500, 0.329)
Ni (0.255, 0.000, 0.299)
Ni (0.255, 0.500, 0.799)
Ni (0.541, 0.000, 0.182)
Ni (0.541, 0.500, 0.682)
Sn (0.566, 0.000, 0.521)
Sn (0.566, 0.500, 0.021)
Sn (0.063, 0.000, 0.673)
Sn (0.063, 0.500, 0.173)
Au (0.207, 0.000, 0.990)
Au (0.207, 0.500, 0.490)
Au (0.880, 0.000, 0.351)
Au (0.880, 0.500, 0.851)

Properties
Calculated volume in Å³/atom: 15.76
Calculated formation energy in eV/atom: -0.03
Electronic total energy in eV/atom: -4.739
Theoretical density in Mg/m³: 11.4

=====

NiSn6Au3: optimized geometry, PBE.

Cell lengths 7.133, 6.721, 9.705 Å; angles 90.00, 92.24, 90.00 degrees
Positions (direct):
Ni (0.500, 0.500, 0.500)
Ni (0.000, 0.000, 0.000)
Sn (0.662, 0.131, 0.910)
Sn (0.662, 0.167, 0.579)
Sn (0.658, 0.556, 0.267)
Sn (0.342, 0.444, 0.733)
Sn (0.338, 0.833, 0.421)
Sn (0.338, 0.869, 0.090)
Sn (0.162, 0.369, 0.410)
Sn (0.162, 0.333, 0.079)
Sn (0.158, 0.944, 0.767)
Sn (0.842, 0.056, 0.233)
Sn (0.838, 0.667, 0.921)
Sn (0.838, 0.631, 0.590)
Au (0.521, 0.822, 0.718)
Au (0.500, 0.500, 0.000)
Au (0.479, 0.178, 0.282)
Au (0.021, 0.678, 0.218)
Au (0.000, 0.000, 0.500)
Au (0.979, 0.322, 0.782)

Properties
Calculated volume in Å³/atom: 23.25
Calculated formation energy in eV/atom: -0.14
Electronic total energy in eV/atom: -4.101
Theoretical density in Mg/m³: 9.7

=====

Ni2SnAu: optimized geometry, PBE.

Cell lengths 4.462, 4.553, 5.896 Å; angles 90.00, 90.00, 90.00 degrees
Positions (direct):
Ni (0.500, 0.203, 0.249)
Ni (0.500, 0.203, 0.751)
Ni (0.000, 0.797, 0.749)
Ni (0.000, 0.797, 0.251)
Sn (0.500, 0.719, 0.500)
Sn (0.000, 0.281, 0.000)
Au (0.000, 0.289, 0.500)
Au (0.500, 0.711, 0.000)

Properties
Calculated volume in Å³/atom: 14.97
Calculated formation energy in eV/atom: -0.11
Electronic total energy in eV/atom: -4.817
Theoretical density in Mg/m³: 12.0

=====

no.,density of states at the Fermi level (states/eV/atom)
1,0.55
2,0.58
3,0.78
4,0.42
5,0.68
6,0.41
7,0.50
8,0.47
9,0.50
10,0.59
11,0.41
12,0.68